(w)
The following is a DFT calculation (PBE) of an optimized crystal structure of Pr2SmMg2.

a b c (Å): 6.436 8.465 8.226
angles (deg): 120.97 113.03 90.00
Positions (direct):
Pr 0.918 0.774 0.836
Pr 0.082 0.226 0.164
Pr 0.582 0.937 0.164
Pr 0.418 0.063 0.836
Sm 0.750 0.500 0.000
Sm 0.250 0.500 0.000
Mg 0.325 0.591 0.650
Mg 0.675 0.409 0.350
Mg 0.175 0.941 0.350
Mg 0.825 0.059 0.650

The symmetry is Ibam.

***

(x)
The following is a DFT calculation (PBE) of an optimized crystal structure of Pr2SmMg2.

a b c (Å): 3.881 5.575 14.408
angles (deg): 90.00 97.80 90.00
Positions (direct):
Pr 0.045 0.750 0.090
Pr 0.955 0.250 0.910
Pr 0.236 0.750 0.474
Pr 0.764 0.250 0.526
Sm 0.851 0.750 0.702
Sm 0.149 0.250 0.298
Mg 0.641 0.750 0.280
Mg 0.359 0.250 0.720
Mg 0.448 0.750 0.893
Mg 0.552 0.250 0.107

The symmetry is P2_1/m.

***

Which of them is the least stable? Correct choice: (w).

***

(w)
The following is a DFT calculation (PBE) of an optimized crystal structure of PrSm4Mg.

a b c (Å): 3.664 3.664 14.547
angles (deg): 90.00 90.00 90.00
Positions (direct):
Pr 0.000 0.000 0.000
Sm 0.500 0.500 0.180
Sm 0.000 0.000 0.648
Sm 0.000 0.000 0.352
Sm 0.500 0.500 0.820
Mg 0.500 0.500 0.500

The symmetry is P4/mmm.

***

(x)
The following is a DFT calculation (PBE) of an optimized crystal structure of PrSm4Mg.

a b c (Å): 9.153 6.317 9.340
angles (deg): 90.00 90.00 133.82
Positions (direct):
Pr 0.000 0.250 0.751
Pr 0.000 0.750 0.249
Sm 0.257 0.609 0.074
Sm 0.257 0.404 0.426
Sm 0.743 0.891 0.074
Sm 0.743 0.596 0.574
Sm 0.743 0.096 0.426
Sm 0.257 0.109 0.926
Sm 0.257 0.904 0.574
Sm 0.743 0.391 0.926
Mg 0.500 0.250 0.250
Mg 0.500 0.750 0.750

The symmetry is P2/c.

***

Which of them is the least stable? Correct choice: (x).

***

(w)
The following is a DFT calculation (PBE) of an optimized crystal structure of Pr6SmMg.

a b c (Å): 9.835 8.704 6.570
angles (deg): 48.45 41.52 55.61
Positions (direct):
Pr 0.057 0.464 0.716
Pr 0.764 0.944 0.756
Pr 0.537 0.236 0.170
Pr 0.236 0.056 0.244
Pr 0.943 0.536 0.284
Pr 0.463 0.764 0.830
Sm 0.500 0.500 0.500
Mg 0.000 0.000 0.000

The symmetry is R-3.

***

(x)
The following is a DFT calculation (PBE) of an optimized crystal structure of Pr6SmMg.

a b c (Å): 5.903 5.903 8.917
angles (deg): 70.67 70.67 90.00
Positions (direct):
Pr 0.746 0.746 0.507
Pr 0.615 0.115 0.770
Pr 0.115 0.615 0.770
Pr 0.385 0.885 0.230
Pr 0.254 0.254 0.493
Pr 0.885 0.385 0.230
Sm 0.500 0.500 0.000
Mg 0.000 0.000 0.000

The symmetry is I4/mmm.

***

Which of them is the least stable? Correct choice: (w).